Entry from Alexandria via LeMat-Bulk: an optimized crystal structure of ScCrCl2 (PBE).

Computed properties:
energy relative to the lowest polymorph listed for this composition = 0.0 meV/atom
raw formation energy = -815 meV per atom
E = -68.725 eV/cell
total magnetic moment = 4.1 μB per cell

Cell lengths 3.3231, 3.3231, 27.0310 Å; angles 90.00, 90.00, 120.00 degrees
Space group R3m (No. 160, hexagonal axes)
Unique sites:
Sc 0.0000 0.0000 0.0000
Cr 0.0000 0.0000 0.2520
Cl 0.0000 0.0000 0.5333
Cl 0.0000 0.0000 0.7296


Entry from Alexandria via LeMat-Bulk: an optimized crystal structure of ScCrCl2 (PBE).

Computed properties:
energy relative to the lowest polymorph listed for this composition = 230.7 meV/atom
raw formation energy = -584 meV per atom
E = -21.985 eV/cell
total magnetic moment = 0.0 μB per cell

Cell lengths 3.084, 3.084, 8.157 Å; angles 90.00, 90.00, 90.00 degrees
Space group P4mm (No. 99)
Unique sites:
Sc 0.000 0.000 0.000
Cr 0.500 0.500 0.754
Cl 0.000 0.000 0.631
Cl 0.500 0.500 0.199